Computed, not measured: crystalline Li8Pt2Au at its relaxed geometry at the GGA-PBE level of DFT.

Summary:
**Mass density**: 6.50 g cm⁻³
**Size of the total moment**: 0.00 μB per formula unit
**Energy above the most stable polymorph in this dataset**: 0.0 meV/atom
**Calculated total energy**: -70.4 eV for the cell shown

abc: 13.848 4.086 6.028
angles: 90.00 105.82 90.00
Space group C2/m (No. 12)
Asymmetric unit:
Li  0.048  0.000  0.242 [4 per cell]
Li  0.109  0.500  0.959 [4 per cell]
Li  0.150  0.000  0.702 [4 per cell]
Li  0.184  0.500  0.414 [4 per cell]
Pt  0.220  0.000  0.147 [4 per cell]
Au  0.000  0.500  0.500 [2 per cell]

Computed, not measured: crystalline LiPt2Au at its relaxed geometry at the GGA-PBE level of DFT.

Summary:
**Mass density**: 16.11 g cm⁻³
**Size of the total moment**: 0.00 μB per formula unit
**Calculated total energy**: -18.1 eV for the cell shown

abc: 2.767 2.767 8.002
angles: 90.00 90.00 90.00
Space group P4/mmm (No. 123)
Asymmetric unit:
Li  0.000  0.000  0.000 [1 per cell]
Pt  0.500  0.500  0.228 [2 per cell]
Au  0.000  0.000  0.500 [1 per cell]

Computed, not measured: crystalline LiPt2Au at its relaxed geometry at the GGA-PBE level of DFT.

Summary:
**Mass density**: 14.64 g cm⁻³
**Size of the total moment**: 0.00 μB per formula unit
**Calculated total energy**: -70.7 eV for the cell shown

abc: 3.774 3.774 18.927
angles: 90.00 90.00 90.00
Space group I-42d (No. 122)
Asymmetric unit:
Li  0.000  0.000  0.000 [4 per cell]
Pt  0.244  0.250  0.125 [8 per cell]
Au  0.000  0.000  0.500 [4 per cell]